Entry 1:
VASP calculation (PBE) on a relaxed Fe3Ir6Rh crystal.

Lattice parameters (Å, degrees): 3.8252 8.3953 8.5274 91.04 90.00 90.00
Positions (direct):
Rh: 0.2500 0.9493 0.5996
Rh: 0.7500 0.0507 0.4004
Ir: 0.2500 0.4537 0.1003
Ir: 0.2500 0.1526 0.1987
Ir: 0.2500 0.0558 0.9020
Ir: 0.7500 0.1604 0.7065
Ir: 0.2500 0.2593 0.5045
Ir: 0.2500 0.6420 0.6980
Ir: 0.2500 0.8396 0.2935
Ir: 0.7500 0.3580 0.3020
Ir: 0.7500 0.5463 0.8997
Ir: 0.7500 0.8474 0.8013
Ir: 0.7500 0.7407 0.4955
Ir: 0.7500 0.9442 0.0980
Fe: 0.7500 0.2534 0.0027
Fe: 0.2500 0.5506 0.4002
Fe: 0.7500 0.4494 0.5998
Fe: 0.7500 0.6476 0.1983
Fe: 0.2500 0.3524 0.8017
Fe: 0.2500 0.7466 0.9973

Calculated values
Total moment: 14.14 Bohr magnetons per cell

Entry 2:
VASP calculation (PBE) on a relaxed FeIr2Rh crystal.

Lattice parameters (Å, degrees): 4.6693 4.6693 4.6745 79.67 79.67 33.83
Positions (direct):
Rh: 0.7500 0.7500 0.7500
Fe: 0.2500 0.2500 0.2500
Ir: 0.5031 0.5031 0.4957
Ir: 0.9969 0.9969 0.0043

Calculated values
Total moment: 3.13 Bohr magnetons per cell

Entry 3:
VASP calculation (PBE) on a relaxed FeIr2Rh crystal.

Lattice parameters (Å, degrees): 2.6988 2.6988 9.0272 90.00 90.00 119.53
Positions (direct):
Ir: 0.5000 0.5000 0.2503
Ir: 0.0000 0.0000 0.9900
Rh: 0.0000 0.0000 0.5104
Fe: 0.5000 0.5000 0.7493

Calculated values
Total moment: 3.32 Bohr magnetons per cell

Entry 4:
VASP calculation (PBE) on a relaxed Fe3IrRh2 crystal.

Lattice parameters (Å, degrees): 8.0414 8.0414 7.7081 121.44 121.44 90.00
Positions (direct):
Fe: 0.1250 0.8750 0.7500
Fe: 0.9428 0.0572 0.5000
Fe: 0.6250 0.8750 0.7500
Fe: 0.6928 0.3072 0.0000
Fe: 0.6928 0.6928 0.0000
Fe: 0.9428 0.4428 0.5000
Fe: 0.3072 0.6928 0.0000
Fe: 0.3072 0.3072 0.0000
Fe: 0.1250 0.3750 0.2500
Fe: 0.1250 0.8750 0.2500
Fe: 0.5572 0.0572 0.5000
Fe: 0.5572 0.4428 0.5000
Ir: 0.5988 0.0988 0.1977
Ir: 0.9012 0.4012 0.8023
Ir: 0.6512 0.6512 0.3023
Ir: 0.3488 0.3488 0.6977
Rh: 0.3212 0.6519 0.3038
Rh: 0.3481 0.6788 0.6962
Rh: 0.2674 0.0981 0.1962
Rh: 0.9826 0.6519 0.3038
Rh: 0.3481 0.0174 0.6962
Rh: 0.9288 0.0981 0.1962
Rh: 0.9019 0.7326 0.8038
Rh: 0.9019 0.0712 0.8038

Calculated values
Total moment: 39.28 Bohr magnetons per cell

Entry 5:
VASP calculation (PBE) on a relaxed Fe2IrRh crystal.

Lattice parameters (Å, degrees): 5.0354 5.0354 5.0354 146.94 129.20 61.95
Positions (direct):
Rh: 0.7608 0.2608 0.5000
Fe: 0.2394 0.7393 0.5000
Fe: 0.0116 0.0116 0.0000
Ir: 0.4883 0.4883 0.0000

Calculated values
Total moment: 6.74 Bohr magnetons per cell

Entry 6:
VASP calculation (PBE) on a relaxed FeIr2Rh crystal.

Lattice parameters (Å, degrees): 5.4174 5.4174 6.5501 65.57 65.57 90.00
Positions (direct):
Ir: 0.3750 0.4005 0.7500
Ir: 0.5995 0.1250 0.2500
Ir: 0.1505 0.6250 0.2500
Ir: 0.8750 0.8495 0.7500
Rh: 0.7500 0.2500 0.5000
Rh: 0.0000 0.0000 0.0000
Fe: 0.5000 0.5000 0.0000
Fe: 0.2500 0.7500 0.5000

Calculated values
Total moment: 0.00 Bohr magnetons per cell

no.,energy relative to the elements (eV/atom),theoretical density (g/cm³),VASP energy (eV/atom)
1,-0.034,17.3,-8.62
2,-0.043,16.2,-8.43
3,0.211,15.8,-8.17
4,0.224,11.2,-7.93
5,0.024,12.6,-8.26
6,1.034,11.6,-7.35